## TiAlGe2 (PBE)

Data for an optimized crystal structure of TiAlGe2.

Values from the calculation:
ΔE_f = -137 meV per atom
space-group type = No. 123
DOS(E_F) = 3.62 states/eV/f.u.
DFT total energy = -5.355 eV/atom

Cell and atoms, written as extended XYZ:
```
4
Lattice="-1.9365 -2.9475 -0.9099 3.2908 -1.4557 -2.2880 1.4879 -2.0386 3.4371" Properties=species:S:1:pos:R:3 pbc="T T T"
Ge 0.7440 -1.0193 1.7185
Ge 1.6454 -0.7278 -1.1440
Al -0.9682 -1.4737 -0.4550
Ti 1.4211 -3.2209 0.1196
```